Record 1
Here is a relaxed structure of Mg3NiH from Alexandria. Energies are from GGA-PBE.

The spin magnetization comes out at 0.0 μB per formula unit. For the volume, the calculation gives 111 Å³/f.u. The total DFT energy (no corrections) comes out at -2.2830 eV/atom. As for the crystal system: cubic. The value obtained for the energy above the lowest structure with this stoichiometry is 2.50 eV per formula unit.

Structure (extended XYZ):
```
5
Lattice="4.808 0.000 0.000 0.000 4.808 0.000 0.000 0.000 4.808" Properties=species:S:1:pos:R:3 pbc="T T T"
Ni 0.000 0.000 0.000
Mg 0.000 0.000 2.404
H 2.404 2.404 2.404
Mg 0.000 2.404 0.000
Mg 2.404 0.000 0.000
```

Record 2
Here is a relaxed structure of MgNi4H from Alexandria. Energies are from GGA-PBE.

The spin magnetization comes out at 1.8 μB per formula unit. For the volume, the calculation gives 70 Å³/f.u. The total DFT energy (no corrections) comes out at -4.5758 eV/atom. As for the crystal system: tetragonal.

Structure (extended XYZ):
```
6
Lattice="3.512 0.000 0.000 0.000 3.512 0.000 0.001 0.000 5.691" Properties=species:S:1:pos:R:3 pbc="T T T"
H 0.000 1.756 2.846
Ni 3.512 1.756 4.566
Mg 1.756 0.000 0.000
Ni 1.756 1.756 2.846
Ni 0.000 1.756 1.125
Ni 0.000 0.000 2.845
```

Record 3
Here is a relaxed structure of MgNi3H7 from Alexandria. Energies are from GGA-PBE.

The spin magnetization comes out at 0.0 μB per formula unit. For the volume, the calculation gives 73 Å³/f.u. The total DFT energy (no corrections) comes out at -3.9028 eV/atom. As for the crystal system: monoclinic.

Structure (extended XYZ):
```
11
Lattice="4.160 -0.160 -0.535 -1.166 4.247 -0.942 0.351 -0.160 4.180" Properties=species:S:1:pos:R:3 pbc="T T T"
H 3.055 2.958 2.468
H 0.290 0.970 0.234
Ni 1.222 -0.160 3.101
Mg 1.673 1.964 1.351
H 3.241 3.030 0.304
H 2.255 -0.160 1.822
Ni -0.583 2.123 -0.471
H 0.978 3.030 3.105
Ni 3.289 -0.160 0.543
H 2.367 0.897 -0.402
H 0.104 0.897 2.399
```

Record 4
Here is a relaxed structure of MgNi2H from Alexandria. Energies are from GGA-PBE.

The spin magnetization comes out at 0.0 μB per formula unit. For the volume, the calculation gives 41 Å³/f.u. The total DFT energy (no corrections) comes out at -4.1467 eV/atom. As for the crystal system: trigonal. The value obtained for the energy above the lowest structure with this stoichiometry is 0.50 eV per formula unit.

Structure (extended XYZ):
```
4
Lattice="-2.493 -1.074 -0.390 -0.258 -2.531 -1.024 -0.809 -3.565 5.345" Properties=species:S:1:pos:R:3 pbc="T T T"
Ni -2.661 -5.586 3.463
H 0.000 0.000 0.000
Mg -1.780 -3.585 1.966
Ni -0.900 -1.583 0.469
```

Record 5
Here is a relaxed structure of MgNi7H12 from Alexandria. Energies are from GGA-PBE.

The spin magnetization comes out at 0.0 μB per formula unit. For the volume, the calculation gives 134 Å³/f.u. The total DFT energy (no corrections) comes out at -4.1465 eV/atom. As for the crystal system: trigonal.

Structure (extended XYZ):
```
20
Lattice="-4.003 -0.590 8.001 4.981 0.857 -0.794 -0.128 3.676 3.556" Properties=species:S:1:pos:R:3 pbc="T T T"
H 3.023 1.872 2.166
Mg 0.000 0.000 0.000
Ni -0.232 1.076 2.837
Ni 2.386 0.984 0.791
H 0.731 1.228 1.448
Ni 1.082 2.867 7.926
H 2.569 3.317 5.394
H 0.119 2.715 9.315
Ni -0.736 1.967 5.999
Ni 1.586 1.976 4.764
H -1.012 0.691 7.234
H -1.720 0.626 5.369
Ni -1.536 2.959 9.972
Ni -2.001 -0.295 4.000
H -0.505 3.197 7.196
H 1.355 0.746 3.567
H -2.173 2.071 8.597
H -0.055 1.849 4.450
H 0.905 2.094 6.313
H 1.862 3.252 3.529
```

Record 6
Here is a relaxed structure of MgNiH4 from Alexandria. Energies are from GGA-PBE.

The spin magnetization comes out at 0.0 μB per formula unit. For the volume, the calculation gives 57 Å³/f.u. The total DFT energy (no corrections) comes out at -3.5849 eV/atom. As for the crystal system: monoclinic. The value obtained for the energy above the lowest structure with this stoichiometry is 0.03 eV per formula unit.

Structure (extended XYZ):
```
12
Lattice="-1.145 4.285 -0.062 0.350 -0.369 -5.630 -4.465 -1.529 3.112" Properties=species:S:1:pos:R:3 pbc="T T T"
Mg -3.149 -0.299 -2.311
H -0.507 0.727 -5.138
H -4.753 1.659 2.557
Ni -2.193 0.385 0.948
H -2.032 3.203 -3.999
H -3.228 -0.816 1.418
Mg -2.111 2.685 -0.270
H -2.804 2.454 -2.038
H -1.808 0.976 -3.336
H -2.456 -0.068 -0.542
Ni -3.068 2.001 -3.529
H -3.453 1.410 0.755
```

Record 7
Here is a relaxed structure of MgNi3H2 from Alexandria. Energies are from GGA-PBE.

The spin magnetization comes out at 0.0 μB per formula unit. For the volume, the calculation gives 54 Å³/f.u. The total DFT energy (no corrections) comes out at -4.3351 eV/atom. As for the crystal system: hexagonal.

Structure (extended XYZ):
```
6
Lattice="-2.158 -1.399 -0.252 2.077 -2.549 -3.644 0.455 -1.536 4.639" Properties=species:S:1:pos:R:3 pbc="T T T"
Ni -0.041 -1.974 -1.948
H 1.536 -2.211 -0.883
H 0.995 -1.874 1.878
Mg 0.000 0.000 0.000
Ni -0.852 -1.467 2.194
Ni 0.187 -2.742 0.372
```

Record 8
Here is a relaxed structure of Mg12Ni3H5 from Alexandria. Energies are from GGA-PBE.

The spin magnetization comes out at 0.0 μB per formula unit. For the volume, the calculation gives 312 Å³/f.u. The total DFT energy (no corrections) comes out at -2.6651 eV/atom. As for the crystal system: cubic.

Structure (extended XYZ):
```
80
Lattice="11.750 0.000 0.000 -3.917 11.078 0.000 -3.917 -5.539 9.594" Properties=species:S:1:pos:R:3 pbc="T T T"
Mg 5.909 3.129 3.614
Mg 1.464 4.120 6.575
H 0.979 3.462 8.395
Ni 4.896 0.692 3.598
H -0.979 9.001 1.199
Mg -0.980 6.437 3.921
H -2.937 6.231 3.598
Mg 0.978 0.898 5.672
Mg -1.993 -4.335 9.314
Ni 6.854 7.616 1.199
Mg 1.438 -1.532 8.691
Mg 8.354 5.555 1.778
Mg 4.897 -0.898 5.672
H 5.875 0.000 0.000
Mg -0.494 0.865 2.059
Mg -0.978 3.845 8.411
Ni -2.937 -2.077 8.395
Mg 8.813 2.592 2.738
Mg 7.799 1.204 0.280
Mg 3.882 1.925 5.700
H 3.917 -2.769 4.797
Ni 0.979 5.539 2.398
Mg 0.035 3.614 3.894
Mg -2.936 9.384 1.183
Mg 2.479 3.991 0.875
Mg -0.978 -2.947 6.855
H -0.979 0.692 5.996
H 0.000 0.000 0.000
Mg 2.452 1.419 3.019
Mg 2.938 4.641 3.921
Mg -3.882 4.335 9.314
Mg -1.438 0.016 7.815
Mg -3.951 7.949 3.614
Mg 1.924 7.464 3.894
H 4.896 4.847 3.598
H -0.979 2.769 2.398
H -1.958 -2.769 4.797
Mg 5.354 5.523 1.778
Mg 4.437 1.532 8.691
Ni -2.937 2.077 8.395
Mg 5.381 6.093 5.077
Mg 1.993 -1.925 5.700
Mg 2.479 7.071 0.903
Mg -2.452 6.404 7.535
H -3.917 2.769 4.797
Mg 6.853 -3.845 8.411
Mg 1.438 1.548 8.718
H -1.958 5.539 0.000
Mg -1.464 -0.554 4.517
Mg 6.369 -0.865 2.059
Mg -3.423 4.985 5.077
Ni 0.979 -0.692 3.598
H 1.958 2.769 4.797
Mg 7.868 -2.410 5.980
H 2.937 2.077 1.199
Ni 2.937 6.231 5.996
Mg -1.993 2.410 5.980
Ni -0.979 4.847 5.996
Mg -4.897 2.947 6.855
Mg 4.895 1.694 1.183
Mg -0.521 4.007 0.903
Mg 3.423 -1.419 3.019
H 0.979 -2.769 7.195
Mg 5.909 9.874 0.280
Mg -0.521 7.087 0.875
Ni 6.854 3.462 1.199
H 2.937 8.308 2.398
Ni -4.896 5.539 7.195
H 6.854 -0.692 5.996
H 3.917 5.539 0.000
Mg 4.437 -1.548 8.718
H 4.896 -3.462 8.395
Mg -4.437 -0.016 7.815
Ni 2.937 0.000 7.195
Ni 8.812 0.000 2.398
Mg 4.411 4.674 7.535
Mg 4.895 8.486 2.738
H 4.896 2.769 7.195
Mg 0.494 6.958 6.575
Mg 7.339 0.554 4.517
```

Record 9
Here is a relaxed structure of MgNi3H6 from Alexandria. Energies are from GGA-PBE.

The spin magnetization comes out at 0.0 μB per formula unit. For the volume, the calculation gives 69 Å³/f.u. The total DFT energy (no corrections) comes out at -4.0125 eV/atom. As for the crystal system: trigonal.

Structure (extended XYZ):
```
10
Lattice="3.898 0.000 -2.089 -2.509 3.642 0.000 0.061 0.042 4.796" Properties=species:S:1:pos:R:3 pbc="T T T"
H 0.965 1.613 0.060
H 2.924 0.327 -0.514
H 2.291 1.450 1.807
Ni -0.328 2.459 -0.612
Ni 1.806 1.244 3.370
H -1.070 3.346 2.908
Mg 0.888 3.297 1.657
H -1.175 2.615 0.837
H 0.302 1.624 2.809
Ni 0.651 0.448 1.214
```

Record 10
Here is a relaxed structure of Mg3Ni5H12 from Alexandria. Energies are from GGA-PBE.

The spin magnetization comes out at 0.0 μB per formula unit. For the volume, the calculation gives 151 Å³/f.u. The total DFT energy (no corrections) comes out at -3.7759 eV/atom. As for the crystal system: cubic.

Structure (extended XYZ):
```
80
Lattice="-0.753 -1.433 9.076 -5.475 -5.892 -4.506 8.744 -1.324 -2.606" Properties=species:S:1:pos:R:3 pbc="T T T"
H 0.121 -4.470 4.153
H 4.340 -5.615 0.525
Mg 1.440 -2.865 3.569
H 2.087 -4.565 2.408
Ni 3.438 -3.554 5.187
Mg -1.525 -3.450 4.792
Mg -3.672 -5.839 4.237
H 4.083 -5.865 3.044
Ni 3.996 -1.378 3.235
H 1.641 -5.819 0.354
Mg 6.188 -2.810 -2.272
H 5.670 -4.299 3.422
H -1.672 -5.947 -4.366
H 0.672 -4.962 -3.425
H -5.376 -6.546 3.369
Ni -0.376 -0.717 4.538
H -0.972 -1.724 5.724
Ni 5.591 -2.267 0.886
Ni -0.707 -5.254 3.014
H 1.123 -1.279 4.998
H 0.430 -4.084 -0.443
H 0.707 -1.391 -0.585
H -0.140 -5.055 1.518
Mg 0.110 -7.058 1.236
Mg 1.077 -5.784 -1.604
H -0.433 -2.060 3.554
H -1.823 -3.034 1.440
Mg 4.035 -4.098 2.029
H 4.241 -2.089 1.749
Ni 3.224 -3.395 -1.049
H 6.605 -2.922 5.563
H 1.844 -3.687 5.390
Mg -1.518 -4.551 -0.064
Ni 1.635 -3.608 -3.556
Ni -0.558 -2.176 1.951
Ni 2.478 -5.929 3.171
Mg 2.407 -1.591 0.729
H 7.893 -2.104 -1.405
H 2.429 -1.147 2.718
Mg 0.843 -2.321 6.727
H -1.567 -2.784 -1.079
H 4.189 -2.702 6.330
Mg 1.673 -6.328 -4.762
Ni 4.372 -0.662 -1.303
H -3.210 -4.776 1.050
Ni 0.000 0.000 0.000
H -2.482 -5.138 5.736
H 4.690 -4.018 -1.297
Ni -3.114 -3.663 2.285
Ni -0.921 -5.095 -3.222
H 2.657 -3.595 0.447
H 2.949 -6.589 -1.590
H 3.473 -2.884 3.721
Ni 6.402 -2.970 3.964
H -1.725 -6.560 0.216
H 2.396 -4.179 -2.188
H -3.013 -7.022 2.557
Ni -3.886 -5.680 -1.999
H -3.153 -4.350 -1.458
H -2.173 -4.631 3.262
H 0.875 -2.830 1.611
H -0.637 -6.861 3.123
H -4.088 -5.728 -3.598
H 5.727 -3.873 0.915
H 4.998 -3.511 -3.771
Ni 1.258 -4.325 0.982
H 1.810 -7.258 2.550
H -0.167 -4.053 6.357
H 0.087 -7.502 -0.753
H 1.394 -7.370 -3.033
H 5.529 -1.627 -0.592
H 3.153 -1.788 -1.158
Mg 4.041 -5.199 -2.827
Ni 3.075 -6.473 0.013
Ni -3.075 -6.383 1.078
H 2.683 -4.596 -4.392
Ni 0.039 -2.720 -1.207
H 3.488 -6.926 -3.760
Ni -2.737 -2.946 -2.253
H -0.956 -5.766 -1.757
```

Record 11
Here is a relaxed structure of Mg3NiH4 from Alexandria. Energies are from GGA-PBE.

The spin magnetization comes out at 0.0 μB per formula unit. For the volume, the calculation gives 88 Å³/f.u. The total DFT energy (no corrections) comes out at -3.1516 eV/atom. As for the crystal system: orthorhombic.

Structure (extended XYZ):
```
16
Lattice="4.451 0.000 0.000 0.000 6.993 0.000 0.000 0.000 5.660" Properties=species:S:1:pos:R:3 pbc="T T T"
Mg 1.835 6.674 0.000
H 0.330 5.602 0.000
Mg 2.248 2.598 1.411
H 3.099 1.190 0.000
H 0.698 1.105 1.224
Mg 4.061 0.320 2.830
H 0.698 1.105 4.436
H 2.923 5.888 4.054
H 2.923 5.888 1.606
Ni 0.041 1.935 0.000
H 2.555 1.392 2.830
Mg 2.248 2.598 4.249
Ni 2.267 5.058 2.830
Mg 0.023 4.395 1.419
Mg 0.023 4.395 4.241
H 0.874 5.803 2.830
```

Record 12
Here is a relaxed structure of Mg4NiH from Alexandria. Energies are from GGA-PBE.

The spin magnetization comes out at 0.0 μB per formula unit. For the volume, the calculation gives 103 Å³/f.u. The total DFT energy (no corrections) comes out at -2.6324 eV/atom. As for the crystal system: monoclinic.

Structure (extended XYZ):
```
12
Lattice="-3.034 -3.052 3.737 4.469 -3.476 0.771 1.352 6.968 2.450" Properties=species:S:1:pos:R:3 pbc="T T T"
Mg 1.403 0.912 2.124
Mg 2.082 5.331 2.610
Mg 4.028 -0.126 3.399
Mg -0.395 -2.461 2.919
Ni 0.794 2.015 4.463
H 4.547 1.807 2.984
Mg 0.704 -4.891 4.349
Mg 1.384 -0.472 4.834
Mg 3.181 2.901 4.039
Mg -1.242 0.566 3.560
H -1.761 -1.367 3.974
Ni 1.993 -1.575 2.496
```